No. 1
Density functional theory data (PBE-GGA) for crystalline ErTlAg2Cl6 at its relaxed geometry.

Lattice parameters (Å, degrees): 7.683 7.683 7.683 55.04 55.04 55.04
Sites, in units of the cell vectors:
Er  0.000  0.000  0.000
Tl  0.519  0.519  0.519
Ag  0.326  0.326  0.326
Ag  0.806  0.806  0.806
Cl  0.065  0.391  0.754
Cl  0.166  0.975  0.601
Cl  0.391  0.754  0.065
Cl  0.601  0.166  0.975
Cl  0.754  0.065  0.391
Cl  0.975  0.601  0.166

- M_tot (μB per atom) = 0.000
- total DFT energy (no corrections) (eV/atom) = -3.656
- uncorrected formation energy (meV per atom) = -1285
- SG = R3, No. 146

=====

No. 2
Density functional theory data (PBE-GGA) for crystalline ErZnAgCl6 at its relaxed geometry.

Lattice parameters (Å, degrees): 6.548 6.548 12.242 90.00 90.00 120.00
Sites, in units of the cell vectors:
Er  0.333  0.667  0.250
Er  0.667  0.333  0.750
Zn  0.333  0.667  0.750
Zn  0.667  0.333  0.250
Ag  0.000  0.000  0.000
Ag  0.000  0.000  0.500
Cl  0.015  0.361  0.632
Cl  0.015  0.654  0.868
Cl  0.346  0.361  0.868
Cl  0.346  0.985  0.632
Cl  0.361  0.015  0.132
Cl  0.361  0.346  0.368
Cl  0.639  0.654  0.632
Cl  0.639  0.985  0.868
Cl  0.654  0.015  0.368
Cl  0.654  0.639  0.132
Cl  0.985  0.346  0.132
Cl  0.985  0.639  0.368

- M_tot (μB per atom) = 0.000
- total DFT energy (no corrections) (eV/atom) = -3.642
- uncorrected formation energy (meV per atom) = -1446
- SG = P-31c, No. 163